Here is a relaxed structure of PaCr2C from the Alexandria database. Energies are from PBE-GGA.

It has space group R-3m (No. 166, hexagonal axes), with a = 2.9871 Å, b = 2.9871 Å, c = 21.4619 Å, α = 90.00°, β = 90.00° and γ = 120.00°. Symmetry generates all atoms from Pa at (0.0000, 0.0000, 0.0000), Cr at (0.0000, 0.0000, 0.1199) and C at (0.0000, 0.0000, 0.5000).

As for the total energy: -9.18 eV per atom. The volume is 13.821 Å³ per atom.



Here is a relaxed structure of DyTm8Tl6 from the Alexandria database. Energies are from PBE-GGA.

It has space group R-3 (No. 148, hexagonal axes), with a = 8.9638 Å, b = 8.9638 Å, c = 19.4861 Å, α = 90.00°, β = 90.00° and γ = 120.00°. Symmetry generates all atoms from Dy at (0.0000, 0.0000, 0.0000), Tm at (0.0000, 0.0000, 0.3334), Tm at (0.9998, 0.3328, 0.7764) and Tl at (0.9996, 0.3345, 0.9345).

As for the total energy: -3.75 eV per atom. The volume is 30.132 Å³ per atom.